Compound: TbSmTlGa
Source: Alexandria via LeMat-Bulk
Functional: GGA-PBE
Structure: optimized geometry

a = 3.652 Å, b = 3.652 Å, c = 7.778 Å
α = 90.00°, β = 90.00°, γ = 90.00°
Positions (direct):
Tb  0.000  0.000  0.374
Sm  0.000  0.000  0.839
Tl  0.500  0.500  0.112
Ga  0.500  0.500  0.602

Summary:
The energy relative to the elements is -0.47 eV/atom. The value obtained for the density of states at the Fermi level is 1.77 states/eV/f.u. The magnetization is 0.000 μB per atom. The energy relative to the lowest polymorph listed for this composition is 0.00 eV/f.u.